1.
A crystal of AgAu5 relaxed with PBEsol, computed with SCAN.

Results
Density of states at the Fermi level: 1.9 states/eV per cell
Distance to the lowest polymorph of the same formula: 0.013 eV/atom
Formation energy from the elements: -2.7 kJ/mol of atoms
Space group: Cm, No. 8
Calculated volume: 16.9 Å³/atom
Magnetic moment: 0.0 Bohr magnetons per cell

Cell and atoms, written as POSCAR:
```
AgAu5
1.0
-1.7683 -0.6236 -2.1502
-2.5579 -1.9337 4.5570
-1.7707 6.6052 -0.4595
Au Ag
5 1
direct
0.3892 0.7784 0.2767 Au
0.6653 0.3306 0.3315 Au
0.0551 0.1102 0.6120 Au
0.3337 0.6675 0.6681 Au
0.7228 0.4456 0.9454 Au
0.0006 0.0011 0.9996 Ag
```

***

2.
A crystal of Sr2CrSi relaxed with PBEsol, computed with SCAN.

Results
Density of states at the Fermi level: 2.2 states/eV per cell
Formation energy without anion corrections: 10.1 kJ per mole of atoms
Space group: P4/mmm, No. 123
Calculated volume: 26.9 Å³/atom
Magnetic moment: 4.4 Bohr magnetons per cell

Cell and atoms, written as POSCAR:
```
Sr2CrSi
1.0
4.2267 0.0000 0.0000
0.0000 5.0451 0.0000
0.0000 0.0000 5.0451
Cr Si Sr
1 1 2
direct
0.5000 0.5000 0.5000 Cr
0.5000 0.0000 0.0000 Si
0.0000 0.0000 0.5000 Sr
0.0000 0.5000 0.0000 Sr
```

***

3.
A crystal of Ce3TaCl6O4 relaxed with PBEsol, computed with SCAN.

Results
Formation energy without anion corrections: -285.4 kJ per mole of atoms
Space group: P6_3/m, No. 176
Calculated volume: 19.4 Å³/atom
Magnetic moment: 6.0 Bohr magnetons per cell

Cell and atoms, written as POSCAR:
```
Ce3TaCl6O4
1.0
3.9287 0.0000 0.0000
0.0000 12.6463 0.0000
0.0000 -6.3232 10.9521
Ce Ta Cl O
6 2 12 8
direct
0.2500 0.6055 0.7190 Ce
0.7500 0.3945 0.2810 Ce
0.2500 0.1135 0.3945 Ce
0.7500 0.8865 0.6055 Ce
0.2500 0.2810 0.8865 Ce
0.7500 0.7190 0.1135 Ce
0.2500 0.6667 0.3333 Ta
0.7500 0.3333 0.6667 Ta
0.2500 0.5557 0.9276 Cl
0.7500 0.4443 0.0724 Cl
0.2500 0.3719 0.4443 Cl
0.7500 0.6281 0.5557 Cl
0.2500 0.0724 0.6281 Cl
0.7500 0.9276 0.3719 Cl
0.2500 0.8562 0.7544 Cl
0.7500 0.1438 0.2456 Cl
0.2500 0.8983 0.1438 Cl
0.7500 0.1017 0.8562 Cl
0.2500 0.2456 0.1017 Cl
0.7500 0.7544 0.8983 Cl
0.2500 0.8018 0.4944 O
0.7500 0.1982 0.5056 O
0.2500 0.6926 0.1982 O
0.7500 0.3074 0.8018 O
0.2500 0.5056 0.3074 O
0.7500 0.4944 0.6926 O
0.2500 0.3333 0.6667 O
0.7500 0.6667 0.3333 O
```

***

4.
A crystal of FeRu2Se relaxed with PBEsol, computed with SCAN.

Results
Density of states at the Fermi level: 3.0 states/eV per cell
Formation energy without anion corrections: 42.5 kJ per mole of atoms
Space group: F-43m, No. 216
Calculated volume: 13.5 Å³/atom
Magnetic moment: 3.2 Bohr magnetons per cell

Cell and atoms, written as POSCAR:
```
FeRu2Se
1.0
-1.4501 -3.8951 0.8439
1.4363 -3.3225 -2.2102
2.5325 -2.8489 1.8593
Fe Ru Se
1 2 1
direct
0.5000 0.5000 0.5000 Fe
0.0000 0.0000 0.0000 Ru
0.7500 0.7500 0.7500 Ru
0.2500 0.2500 0.2500 Se
```

***

5.
A crystal of Sc2CrS relaxed with PBEsol, computed with SCAN.

Results
Density of states at the Fermi level: 2.3 states/eV per cell
Formation energy without anion corrections: -49.8 kJ per mole of atoms
Space group: R-3m, No. 166
Calculated volume: 20.1 Å³/atom
Magnetic moment: 3.9 Bohr magnetons per cell

Cell and atoms, written as POSCAR:
```
Sc2CrS
1.0
-2.6838 1.3530 1.4195
-0.7383 -0.7010 3.1642
3.5042 6.7706 4.0635
Sc Cr S
2 1 1
direct
0.8948 0.8948 0.3157 Sc
0.1052 0.1052 0.6843 Sc
0.0000 0.0000 0.0000 Cr
0.5000 0.5000 0.5000 S
```

***

6.
A crystal of LiZnCu2 relaxed with PBEsol, computed with SCAN.

Results
Density of states at the Fermi level: 0.8 states/eV per cell
Formation energy from the elements: -5.2 kJ/mol of atoms
Space group: P4mm, No. 99
Calculated volume: 12.2 Å³/atom
Magnetic moment: 0.0 Bohr magnetons per cell

Cell and atoms, written as POSCAR:
```
LiZnCu2
1.0
3.0058 0.0000 0.0000
0.0000 3.0058 0.0000
0.0000 0.0000 5.3868
Zn Cu Li
1 2 1
direct
0.5000 0.5000 0.7586 Zn
0.0000 0.0000 0.0064 Cu
0.5000 0.5000 0.2449 Cu
0.0000 0.0000 0.4902 Li
```

***

7.
A crystal of HPdW2I relaxed with PBEsol, computed with SCAN.

Results
Density of states at the Fermi level: 5.5 states/eV per cell
Space group: P4/mmm, No. 123
Calculated volume: 22.9 Å³/atom
Electronic total energy: -39.307 eV/atom
Magnetic moment: 1.3 Bohr magnetons per cell

Cell and atoms, written as POSCAR:
```
HPdW2I
1.0
-2.3487 -4.1960 -0.2742
4.1308 -2.3803 1.0425
-1.0437 0.2732 4.7594
I H Pd W
1 1 1 2
direct
0.0000 0.0000 0.0000 I
0.5000 0.5000 0.5000 H
0.5000 0.0000 0.0000 Pd
0.0000 0.0000 0.5000 W
0.0000 0.5000 0.0000 W
```

***

8.
A crystal of In2TePW relaxed with PBEsol, computed with SCAN.

Results
Density of states at the Fermi level: 1.9 states/eV per cell
Formation energy without anion corrections: 91.5 kJ per mole of atoms
Space group: P4/mmm, No. 123
Calculated volume: 28.6 Å³/atom
Magnetic moment: 3.1 Bohr magnetons per cell

Cell and atoms, written as POSCAR:
```
In2TePW
1.0
5.0106 0.0000 0.0000
0.0000 5.3443 0.0000
0.0000 0.0000 5.3443
P Te W In
1 1 1 2
direct
0.5000 0.5000 0.5000 P
0.5000 0.0000 0.0000 Te
0.0000 0.0000 0.0000 W
0.0000 0.0000 0.5000 In
0.0000 0.5000 0.0000 In
```

***

Look up the magnetic moment of the first one. 0.0 Bohr magnetons per cell